# 1
Here is a relaxed RbFeCuI5 crystal from the Alexandria database. Energies are from PBE-GGA.

a b c (Å): 8.6944 8.6944 9.4508
angles (deg): 100.64 100.64 104.23
Last column: nearest neighbours and their distance in Å.
Sites, in units of the cell vectors:
Rb 0.1534 0.8466 0.7500  9 I 3.82-3.98
Rb 0.8466 0.1534 0.2500  9 I 3.82-3.98
Fe 0.1833 0.8167 0.2500  4 I 2.56-2.57
Fe 0.8167 0.1833 0.7500  4 I 2.56-2.57
Cu 0.5000 0.5000 0.0000  2 I 2.54
Cu 0.5000 0.5000 0.5000  2 I 2.54
I 0.0884 0.2448 0.9411  1 Fe 2.56
I 0.1772 0.5819 0.3806  1 Fe 2.57
I 0.2448 0.0884 0.4411  1 Fe 2.56
I 0.4181 0.8228 0.1194  1 Fe 2.57
I 0.4320 0.5680 0.7500  2 Cu 2.54
I 0.5680 0.4320 0.2500  2 Cu 2.54
I 0.5819 0.1772 0.8806  1 Fe 2.57
I 0.7552 0.9116 0.5589  1 Fe 2.56
I 0.8228 0.4181 0.6194  1 Fe 2.57
I 0.9116 0.7552 0.0589  1 Fe 2.56

Formation energy from raw total energies ... -0.471 eV per atom
V ... 660.4 Å³ per cell
Crystal system ... monoclinic
Uncorrected energy ... -50.094 eV/cell
Theoretical density ... 4.22 g cm⁻³


# 2
Here is a relaxed RbFe2CuI8 crystal from the Alexandria database. Energies are from PBE-GGA.

a b c (Å): 7.1781 7.1781 10.6906
angles (deg): 96.87 96.87 70.21
Last column: nearest neighbours and their distance in Å.
Sites, in units of the cell vectors:
Rb 0.0000 0.0000 0.0000  6 I 3.82-3.84
Fe 0.3842 0.3842 0.7140  4 I 2.55-2.58
Fe 0.6158 0.6158 0.2860  4 I 2.55-2.58
Cu 0.0000 0.0000 0.5000  6 I 2.70-2.98
I 0.2317 0.2317 0.5151  1 Fe 2.57, 1 Cu 2.70
I 0.2359 0.7356 0.2979  1 Fe 2.58
I 0.2644 0.7641 0.7021  1 Fe 2.58
I 0.3102 0.3102 0.9261  1 Fe 2.55
I 0.6898 0.6898 0.0739  1 Fe 2.55
I 0.7356 0.2359 0.2979  1 Fe 2.58
I 0.7641 0.2644 0.7021  1 Fe 2.58
I 0.7683 0.7683 0.4849  1 Fe 2.57, 1 Cu 2.70

Formation energy from raw total energies ... -0.359 eV per atom
V ... 512.7 Å³ per cell
Crystal system ... monoclinic
Uncorrected energy ... -38.701 eV/cell
Theoretical density ... 4.13 g cm⁻³


# 3
Here is a relaxed RbFeCu2I6 crystal from the Alexandria database. Energies are from PBE-GGA.

a b c (Å): 10.3647 10.3647 8.5829
angles (deg): 108.68 108.68 84.71
Last column: nearest neighbours and their distance in Å.
Sites, in units of the cell vectors:
Rb 0.1826 0.8174 0.7500  6 I 3.60-4.00
Rb 0.8174 0.1826 0.2500  6 I 3.60-4.00
Fe 0.1819 0.8181 0.2500  4 I 2.57-2.59
Fe 0.8181 0.1819 0.7500  4 I 2.57-2.59
Cu 0.2651 0.3610 0.8202  4 I 2.56-2.76
Cu 0.3610 0.2651 0.3202  4 I 2.56-2.76
Cu 0.6390 0.7349 0.6798  4 I 2.56-2.76
Cu 0.7349 0.6390 0.1798  4 I 2.56-2.76
I 0.0431 0.1864 0.6811  1 Fe 2.59, 1 Cu 2.76
I 0.1640 0.5993 0.9947  1 Fe 2.57, 1 Cu 2.76
I 0.1864 0.0431 0.1811  1 Fe 2.59, 1 Cu 2.76
I 0.2662 0.4247 0.5540  2 Cu 2.56-2.58
I 0.4007 0.8360 0.5053  1 Fe 2.57, 1 Cu 2.76
I 0.4247 0.2662 0.0540  2 Cu 2.56-2.58
I 0.5753 0.7338 0.9460  2 Cu 2.56-2.58
I 0.5993 0.1640 0.4947  1 Fe 2.57, 1 Cu 2.76
I 0.7338 0.5753 0.4460  2 Cu 2.56-2.58
I 0.8136 0.9569 0.8189  1 Fe 2.59, 1 Cu 2.76
I 0.8360 0.4007 0.0053  1 Fe 2.57, 1 Cu 2.76
I 0.9569 0.8136 0.3189  1 Fe 2.59, 1 Cu 2.76

Formation energy from raw total energies ... -0.392 eV per atom
V ... 827.4 Å³ per cell
Crystal system ... monoclinic
Uncorrected energy ... -61.685 eV/cell
Theoretical density ... 4.13 g cm⁻³


# 4
Here is a relaxed FeCu2RhI crystal from the Alexandria database. Energies are from PBE-GGA.

a b c (Å): 4.4492 4.4492 4.7512
angles (deg): 90.00 90.00 90.00
Last column: nearest neighbours and their distance in Å.
Sites, in units of the cell vectors:
Fe 0.0000 0.0000 0.0000  4 Cu 2.22, 2 I 2.38
Cu 0.0000 0.5000 0.0000  2 Fe 2.22
Cu 0.5000 0.0000 0.0000  2 Fe 2.22
Rh 0.5000 0.5000 0.5000  4 I 3.15, 8 Cu 3.25
I 0.0000 0.0000 0.5000  2 Fe 2.38

Formation energy from raw total energies ... 1.169 eV per atom
V ... 94.1 Å³ per cell
Crystal system ... tetragonal
Uncorrected energy ... -19.712 eV/cell
Theoretical density ... 7.29 g cm⁻³